1.
K2Mg2W | PBE | optimized geometry

Structure (CIF):
```
data_K2Mg2W
_cell_length_a 8.7537
_cell_length_b 8.7537
_cell_length_c 8.7537
_cell_angle_alpha 153.80
_cell_angle_beta 153.80
_cell_angle_gamma 37.39
_symmetry_space_group_name_H-M 'P 1'
_symmetry_Int_Tables_number 1
_symmetry_space_group_name_Hall 'P 1'
loop_
_atom_site_label
_atom_site_type_symbol
_atom_site_fract_x
_atom_site_fract_y
_atom_site_fract_z
_atom_site_occupancy
K1 K 0.2500 0.7500 0.5000 1
K2 K 0.7500 0.2500 0.5000 1
Mg1 Mg 0.0766 0.0766 0.0000 1
Mg2 Mg 0.9234 0.9234 0.0000 1
W1 W 0.5000 0.5000 0.0000 1
```

Summary:
Magnetization   0.01 μB/f.u.
Formation energy from the elements   1460 meV per atom

***

2.
URuO6 | PBE | optimized geometry

Structure (CIF):
```
data_URuO6
_cell_length_a 5.0528
_cell_length_b 5.0653
_cell_length_c 5.3937
_cell_angle_alpha 62.05
_cell_angle_beta 83.97
_cell_angle_gamma 76.85
_symmetry_space_group_name_H-M 'P 1'
_symmetry_Int_Tables_number 1
_symmetry_space_group_name_Hall 'P 1'
loop_
_atom_site_label
_atom_site_type_symbol
_atom_site_fract_x
_atom_site_fract_y
_atom_site_fract_z
_atom_site_occupancy
U1 U 0.0000 0.0000 0.0000 1
Ru1 Ru 0.5000 0.5000 0.0000 1
O1 O 0.2576 0.2528 0.0000 1
O2 O 0.2641 0.8632 0.7373 1
O3 O 0.2650 0.6007 0.2627 1
O4 O 0.7350 0.3993 0.7373 1
O5 O 0.7359 0.1368 0.2627 1
O6 O 0.7424 0.7472 0.0000 1
```

Summary:
Magnetization   1.49 μB/f.u.
Uncorrected formation energy   -14.089 eV/f.u.

***

3.
Na3Cd5In6 | PBE | optimized geometry

Structure (CIF):
```
data_Na3Cd5In6
_cell_length_a 5.0195
_cell_length_b 13.4295
_cell_length_c 11.0015
_cell_angle_alpha 90.00
_cell_angle_beta 90.00
_cell_angle_gamma 90.00
_symmetry_space_group_name_H-M 'P 1'
_symmetry_Int_Tables_number 1
_symmetry_space_group_name_Hall 'P 1'
loop_
_atom_site_label
_atom_site_type_symbol
_atom_site_fract_x
_atom_site_fract_y
_atom_site_fract_z
_atom_site_occupancy
Na1 Na 0.2500 0.0311 0.2443 1
Na2 Na 0.2500 0.4689 0.2443 1
Na3 Na 0.2500 0.7500 0.2394 1
Na4 Na 0.7500 0.2500 0.7606 1
Na5 Na 0.7500 0.5311 0.7557 1
Na6 Na 0.7500 0.9689 0.7557 1
Cd1 Cd 0.2500 0.1191 0.6333 1
Cd2 Cd 0.2500 0.3809 0.6333 1
Cd3 Cd 0.2500 0.6196 0.9643 1
Cd4 Cd 0.2500 0.7500 0.7358 1
Cd5 Cd 0.2500 0.8804 0.9643 1
Cd6 Cd 0.7500 0.1196 0.0357 1
Cd7 Cd 0.7500 0.2500 0.2642 1
Cd8 Cd 0.7500 0.3804 0.0357 1
Cd9 Cd 0.7500 0.6191 0.3667 1
Cd10 Cd 0.7500 0.8809 0.3667 1
In1 In 0.2500 0.0959 0.8943 1
In2 In 0.2500 0.2500 0.0994 1
In3 In 0.2500 0.2500 0.4127 1
In4 In 0.2500 0.4041 0.8943 1
In5 In 0.2500 0.5929 0.5254 1
In6 In 0.2500 0.9071 0.5254 1
In7 In 0.7500 0.0929 0.4746 1
In8 In 0.7500 0.4071 0.4746 1
In9 In 0.7500 0.5959 0.1057 1
In10 In 0.7500 0.7500 0.5873 1
In11 In 0.7500 0.7500 0.9006 1
In12 In 0.7500 0.9041 0.1057 1
```

Summary:
Magnetization   0.00 μB/f.u.
Formation energy from the elements   -64 meV per atom

***

4.
Rb2HgPPt | PBE | optimized geometry

Structure (CIF):
```
data_Rb2HgPPt
_cell_length_a 6.6601
_cell_length_b 6.6601
_cell_length_c 4.4052
_cell_angle_alpha 90.00
_cell_angle_beta 90.00
_cell_angle_gamma 90.00
_symmetry_space_group_name_H-M 'P 1'
_symmetry_Int_Tables_number 1
_symmetry_space_group_name_Hall 'P 1'
loop_
_atom_site_label
_atom_site_type_symbol
_atom_site_fract_x
_atom_site_fract_y
_atom_site_fract_z
_atom_site_occupancy
Rb1 Rb 0.0000 0.5000 0.0000 1
Rb2 Rb 0.5000 0.0000 0.0000 1
Hg1 Hg 0.0000 0.0000 0.5000 1
P1 P 0.5000 0.5000 0.5000 1
Pt1 Pt 0.5000 0.5000 0.0000 1
```

Summary:
Magnetization   0.00 μB/f.u.
Formation energy from the elements   -340 meV per atom

***

5.
Sb2PCI | PBE | optimized geometry

Structure (CIF):
```
data_Sb2PCI
_cell_length_a 4.8135
_cell_length_b 4.8135
_cell_length_c 4.8290
_cell_angle_alpha 90.00
_cell_angle_beta 90.00
_cell_angle_gamma 90.00
_symmetry_space_group_name_H-M 'P 1'
_symmetry_Int_Tables_number 1
_symmetry_space_group_name_Hall 'P 1'
loop_
_atom_site_label
_atom_site_type_symbol
_atom_site_fract_x
_atom_site_fract_y
_atom_site_fract_z
_atom_site_occupancy
Sb1 Sb 0.0000 0.5000 0.0000 1
Sb2 Sb 0.5000 0.0000 0.0000 1
P1 P 0.0000 0.0000 0.5000 1
C1 C 0.5000 0.5000 0.0000 1
I1 I 0.5000 0.5000 0.5000 1
```

Summary:
Magnetization   0.00 μB/f.u.
Uncorrected formation energy   6.606 eV/f.u.

***

6.
Th6Ir2CSe3 | PBE | optimized geometry

Structure (CIF):
```
data_Th6Ir2CSe3
_cell_length_a 9.4958
_cell_length_b 9.4958
_cell_length_c 8.6330
_cell_angle_alpha 105.73
_cell_angle_beta 105.73
_cell_angle_gamma 24.35
_symmetry_space_group_name_H-M 'P 1'
_symmetry_Int_Tables_number 1
_symmetry_space_group_name_Hall 'P 1'
loop_
_atom_site_label
_atom_site_type_symbol
_atom_site_fract_x
_atom_site_fract_y
_atom_site_fract_z
_atom_site_occupancy
Th1 Th 0.0016 0.0016 0.2113 1
Th2 Th 0.3296 0.3296 0.4356 1
Th3 Th 0.3496 0.3496 0.9092 1
Th4 Th 0.6504 0.6504 0.0908 1
Th5 Th 0.6704 0.6704 0.5644 1
Th6 Th 0.9984 0.9984 0.7887 1
Ir1 Ir 0.1639 0.1639 0.3302 1
Ir2 Ir 0.8361 0.8361 0.6698 1
C1 C 0.5000 0.5000 0.0000 1
Se1 Se 0.1691 0.1691 0.8355 1
Se2 Se 0.5000 0.5000 0.5000 1
Se3 Se 0.8309 0.8309 0.1645 1
```

Summary:
Magnetization   0.00 μB/f.u.
Uncorrected formation energy   -13.953 eV/f.u.